Record 1
A plane-wave DFT calculation with PBE was carried out for a geometry-optimized CdRe2Ir2 structure.

Properties
N(E_F): 6.23 states/eV/cell
Energy above the lowest structure with this stoichiometry: 0 meV per atom
Crystal system: tetragonal
Spin magnetization: 0.00 μB/cell
Energy of formation from the pure elements: 0.1691 eV per atom

a = 7.7689 Å, b = 7.7689 Å, c = 2.7475 Å
α = 90.00°, β = 90.00°, γ = 90.00°
Closest atoms and distances in Å follow each position.
Positions (direct):
Cd 0.0000 0.0000 0.0000  2 Cd 2.75
Cd 0.5000 0.5000 0.0000  2 Cd 2.75
Re 0.1213 0.3787 0.0000  6 Ir 2.65-2.70, 3 Re 2.67-2.75
Re 0.3787 0.8787 0.0000  6 Ir 2.65-2.70, 3 Re 2.67-2.75
Re 0.6213 0.1213 0.0000  6 Ir 2.65-2.70, 3 Re 2.67-2.75
Re 0.8787 0.6213 0.0000  6 Ir 2.65-2.70, 3 Re 2.67-2.75
Ir 0.1671 0.6671 0.5000  6 Re 2.65-2.70, 2 Ir 2.75
Ir 0.3329 0.1671 0.5000  6 Re 2.65-2.70, 2 Ir 2.75
Ir 0.6671 0.8329 0.5000  6 Re 2.65-2.70, 2 Ir 2.75
Ir 0.8329 0.3329 0.5000  6 Re 2.65-2.70, 2 Ir 2.75

---

Record 2
A plane-wave DFT calculation with PBE was carried out for a geometry-optimized CdReIr2 structure.

Properties
N(E_F): 4.60 states/eV/cell
Crystal system: orthorhombic
Spin magnetization: 0.00 μB/cell
Energy of formation from the pure elements: 0.2447 eV per atom

a = 2.8031 Å, b = 4.5791 Å, c = 4.8822 Å
α = 90.00°, β = 90.00°, γ = 90.00°
Closest atoms and distances in Å follow each position.
Positions (direct):
Cd 0.0000 0.0000 0.0000  8 Ir 2.79-2.82, 2 Cd 2.80, 2 Re 2.86
Re 0.0000 0.5000 0.3509  8 Ir 2.78-2.85, 2 Re 2.80, 2 Cd 2.86
Ir 0.5000 0.0000 0.5016  4 Re 2.78, 4 Ir 2.80-2.83, 4 Cd 2.81-2.82
Ir 0.5000 0.5000 0.8432  4 Re 2.78-2.85, 4 Cd 2.79, 4 Ir 2.80-2.83

---

Record 3
A plane-wave DFT calculation with PBE was carried out for a geometry-optimized CdReIr2 structure.

Properties
N(E_F): 4.51 states/eV/cell
Crystal system: tetragonal
Spin magnetization: 0.00 μB/cell
Energy of formation from the pure elements: 0.2303 eV per atom

a = 2.7795 Å, b = 2.7795 Å, c = 8.2179 Å
α = 90.00°, β = 90.00°, γ = 90.00°
Closest atoms and distances in Å follow each position.
Positions (direct):
Cd 0.0000 0.0000 0.0000  4 Cd 2.78, 4 Ir 2.92, 4 Re 3.01
Re 0.5000 0.5000 0.7226  4 Ir 2.68, 4 Re 2.78
Ir 0.0000 0.0000 0.5005  4 Re 2.68, 8 Ir 2.77-2.78
Ir 0.5000 0.5000 0.2635  8 Ir 2.77-2.78, 4 Cd 2.92

---

Record 4
A plane-wave DFT calculation with PBE was carried out for a geometry-optimized Cd2ReIr structure.

Properties
N(E_F): 4.53 states/eV/cell
Energy above the lowest structure with this stoichiometry: 383 meV per atom
Crystal system: trigonal
Spin magnetization: 0.09 μB/cell
Energy of formation from the pure elements: 0.4810 eV per atom

a = 9.6573 Å, b = 9.6573 Å, c = 9.6573 Å
α = 17.11°, β = 17.11°, γ = 17.11°
Closest atoms and distances in Å follow each position.
Positions (direct):
Cd 0.2485 0.2485 0.2485  3 Ir 2.87, 6 Cd 2.87, 3 Re 2.93
Cd 0.7515 0.7515 0.7515  3 Ir 2.87, 6 Cd 2.87, 3 Re 2.93
Re 0.0000 0.0000 0.0000  6 Re 2.87, 6 Cd 2.93
Ir 0.5000 0.5000 0.5000  6 Cd 2.87, 6 Ir 2.87

---

Record 5
A plane-wave DFT calculation with PBE was carried out for a geometry-optimized CdReIr2 structure.

Properties
N(E_F): 4.36 states/eV/cell
Crystal system: orthorhombic
Spin magnetization: 0.00 μB/cell
Energy of formation from the pure elements: 0.2563 eV per atom

a = 4.8433 Å, b = 4.8433 Å, c = 2.8006 Å
α = 90.00°, β = 90.00°, γ = 107.42°
Closest atoms and distances in Å follow each position.
Positions (direct):
Cd 0.0000 0.0000 0.0000  8 Ir 2.80, 2 Cd 2.80, 2 Re 2.87
Re 0.5000 0.5000 0.0000  8 Ir 2.80, 2 Re 2.80, 2 Cd 2.87
Ir 0.0000 0.5000 0.5000  4 Cd 2.80, 4 Re 2.80, 4 Ir 2.80-2.87
Ir 0.5000 0.0000 0.5000  4 Cd 2.80, 4 Re 2.80, 4 Ir 2.80-2.87

---

Record 6
A plane-wave DFT calculation with PBE was carried out for a geometry-optimized CdReIr2 structure.

Properties
N(E_F): 3.07 states/eV/cell
Crystal system: orthorhombic
Spin magnetization: 0.00 μB/cell
Energy of formation from the pure elements: 0.1179 eV per atom

a = 2.8232 Å, b = 3.7982 Å, c = 5.9244 Å
α = 90.00°, β = 90.00°, γ = 90.00°
Closest atoms and distances in Å follow each position.
Positions (direct):
Cd 0.0000 0.0000 0.0000  2 Cd 2.82, 8 Ir 2.87, 2 Re 2.96
Re 0.0000 0.0000 0.5000  8 Ir 2.72, 2 Re 2.82, 2 Cd 2.96
Ir 0.5000 0.5000 0.2748  3 Ir 2.67-2.82, 4 Re 2.72, 4 Cd 2.87
Ir 0.5000 0.5000 0.7252  3 Ir 2.67-2.82, 4 Re 2.72, 4 Cd 2.87

---

Record 7
A plane-wave DFT calculation with PBE was carried out for a geometry-optimized Cd2ReIr structure.

Properties
N(E_F): 3.37 states/eV/cell
Energy above the lowest structure with this stoichiometry: 413 meV per atom
Crystal system: orthorhombic
Spin magnetization: 0.00 μB/cell
Energy of formation from the pure elements: 0.5107 eV per atom

a = 2.8030 Å, b = 2.8030 Å, c = 9.5742 Å
α = 90.00°, β = 90.00°, γ = 114.69°
Closest atoms and distances in Å follow each position.
Positions (direct):
Cd 0.0000 0.0000 0.2449  2 Ir 2.79, 6 Cd 2.80-3.02, 2 Re 2.87
Cd 0.0000 0.0000 0.7551  2 Ir 2.79, 6 Cd 2.80-3.02, 2 Re 2.87
Re 0.5000 0.5000 0.5000  6 Re 2.80-3.02, 4 Cd 2.87
Ir 0.5000 0.5000 0.0000  4 Cd 2.79, 6 Ir 2.80-3.02

---

Record 8
A plane-wave DFT calculation with PBE was carried out for a geometry-optimized Cd2ReIr structure.

Properties
N(E_F): 4.53 states/eV/cell
Energy above the lowest structure with this stoichiometry: 521 meV per atom
Crystal system: cubic
Spin magnetization: 1.73 μB/cell
Energy of formation from the pure elements: 0.6184 eV per atom

a = 4.6054 Å, b = 4.6054 Å, c = 4.6054 Å
α = 60.00°, β = 60.00°, γ = 60.00°
Closest atoms and distances in Å follow each position.
Positions (direct):
Cd 0.0000 0.0000 0.0000  4 Ir 2.82, 4 Cd 2.82
Cd 0.2500 0.2500 0.2500  4 Re 2.82, 4 Cd 2.82
Re 0.5000 0.5000 0.5000  4 Ir 2.82, 4 Cd 2.82
Ir 0.7500 0.7500 0.7500  4 Re 2.82, 4 Cd 2.82

---

Record 9
A plane-wave DFT calculation with PBE was carried out for a geometry-optimized CdReIr2 structure.

Properties
N(E_F): 5.01 states/eV/cell
Crystal system: tetragonal
Spin magnetization: 1.64 μB/cell
Energy of formation from the pure elements: 0.5012 eV per atom

a = 4.0960 Å, b = 4.0960 Å, c = 3.7967 Å
α = 90.00°, β = 90.00°, γ = 90.00°
Closest atoms and distances in Å follow each position.
Positions (direct):
Cd 0.0000 0.0000 0.0000  8 Ir 2.79, 4 Re 2.90
Re 0.5000 0.5000 0.0000  8 Ir 2.79, 4 Cd 2.90
Ir 0.0000 0.5000 0.5000  4 Cd 2.79, 4 Re 2.79, 4 Ir 2.90
Ir 0.5000 0.0000 0.5000  4 Cd 2.79, 4 Re 2.79, 4 Ir 2.90

---

Record 10
A plane-wave DFT calculation with PBE was carried out for a geometry-optimized CdReIr2 structure.

Properties
N(E_F): 3.30 states/eV/cell
Crystal system: monoclinic
Spin magnetization: 0.00 μB/cell
Energy of formation from the pure elements: 0.2649 eV per atom

a = 4.8161 Å, b = 4.8161 Å, c = 4.9915 Å
α = 98.07°, β = 98.07°, γ = 33.38°
Closest atoms and distances in Å follow each position.
Positions (direct):
Cd 0.0000 0.0000 0.0000  2 Cd 2.77, 6 Ir 2.79-2.89, 4 Re 2.85
Re 0.5000 0.5000 0.5000  6 Ir 2.75-2.78, 2 Re 2.77, 4 Cd 2.85
Ir 0.2438 0.2438 0.7304  6 Ir 2.70-3.01, 3 Re 2.75-2.78, 3 Cd 2.79-2.89
Ir 0.7562 0.7562 0.2696  6 Ir 2.70-3.01, 3 Re 2.75-2.78, 3 Cd 2.79-2.89

---

Record 11
A plane-wave DFT calculation with PBE was carried out for a geometry-optimized Cd2ReIr structure.

Properties
N(E_F): 4.94 states/eV/cell
Energy above the lowest structure with this stoichiometry: 520 meV per atom
Crystal system: orthorhombic
Spin magnetization: 0.22 μB/cell
Energy of formation from the pure elements: 0.6176 eV per atom

a = 5.2420 Å, b = 5.2420 Å, c = 2.8271 Å
α = 90.00°, β = 90.00°, γ = 117.23°
Closest atoms and distances in Å follow each position.
Positions (direct):
Cd 0.0000 0.5000 0.0000  4 Cd 2.73-2.83, 4 Re 2.98, 4 Ir 2.98
Cd 0.5000 0.0000 0.0000  4 Cd 2.73-2.83, 4 Re 2.98, 4 Ir 2.98
Re 0.0000 0.0000 0.5000  2 Ir 2.73, 2 Re 2.83, 8 Cd 2.98
Ir 0.5000 0.5000 0.5000  2 Re 2.73, 2 Ir 2.83, 8 Cd 2.98

---

Record 12
A plane-wave DFT calculation with PBE was carried out for a geometry-optimized CdReIr structure.

Properties
N(E_F): 1.60 states/eV/cell
Energy above the lowest structure with this stoichiometry: 434 meV per atom
Crystal system: cubic
Spin magnetization: 0.00 μB/cell
Energy of formation from the pure elements: 0.5668 eV per atom

a = 4.3046 Å, b = 4.3046 Å, c = 4.3046 Å
α = 60.00°, β = 60.00°, γ = 60.00°
Closest atoms and distances in Å follow each position.
Positions (direct):
Cd 0.0000 0.0000 0.0000  4 Ir 2.64
Re 0.5000 0.5000 0.5000  4 Ir 2.64
Ir 0.7500 0.7500 0.7500  4 Cd 2.64, 4 Re 2.64

---

Record 13
A plane-wave DFT calculation with PBE was carried out for a geometry-optimized CdRe2IrRh structure.

Properties
N(E_F): 5.34 states/eV/cell
Crystal system: tetragonal
Spin magnetization: 2.73 μB/cell
Energy of formation from the pure elements: 1.8056 eV per atom

a = 4.7198 Å, b = 4.7198 Å, c = 4.8737 Å
α = 90.00°, β = 90.00°, γ = 90.00°
Closest atoms and distances in Å follow each position.
Positions (direct):
Cd 0.0000 0.0000 0.0000  4 Rh 3.34, 8 Re 3.39
Re 0.0000 0.5000 0.5000  2 Ir 2.36
Re 0.5000 0.0000 0.5000  2 Ir 2.36
Ir 0.5000 0.5000 0.5000  4 Re 2.36, 2 Rh 2.44
Rh 0.5000 0.5000 0.0000  2 Ir 2.44

---

Record 14
A plane-wave DFT calculation with PBE was carried out for a geometry-optimized ScCd2ReIr structure.

Properties
N(E_F): 5.95 states/eV/cell
Crystal system: tetragonal
Spin magnetization: 1.24 μB/cell
Energy of formation from the pure elements: 1.4322 eV per atom

a = 5.1342 Å, b = 5.1342 Å, c = 4.7329 Å
α = 90.00°, β = 90.00°, γ = 90.00°
Closest atoms and distances in Å follow each position.
Positions (direct):
Sc 0.0000 0.0000 0.0000  2 Re 2.37
Cd 0.0000 0.5000 0.5000  2 Re 2.57
Cd 0.5000 0.0000 0.5000  2 Re 2.57
Re 0.0000 0.0000 0.5000  2 Sc 2.37, 4 Cd 2.57
Ir 0.5000 0.5000 0.0000  8 Cd 3.49, 4 Sc 3.63

---

Record 15
A plane-wave DFT calculation with PBE was carried out for a geometry-optimized CdRe2SnIr structure.

Properties
N(E_F): 5.25 states/eV/cell
Crystal system: tetragonal
Spin magnetization: 1.39 μB/cell
Energy of formation from the pure elements: 1.5126 eV per atom

a = 4.7936 Å, b = 4.7936 Å, c = 5.0737 Å
α = 90.00°, β = 90.00°, γ = 90.00°
Closest atoms and distances in Å follow each position.
Positions (direct):
Cd 0.0000 0.0000 0.0000  2 Ir 2.54
Re 0.0000 0.5000 0.5000  2 Ir 2.40
Re 0.5000 0.0000 0.5000  2 Ir 2.40
Sn 0.5000 0.5000 0.0000  4 Cd 3.39, 8 Re 3.49
Ir 0.0000 0.0000 0.5000  4 Re 2.40, 2 Cd 2.54